GGA-PBEsol YNbMo2Os, optimized geometry; calculated formation energy = 198 kJ/mol of atoms; size of the total moment = 0.0 μB/cell
1.0
4.588 0.000 0.000
0.000 4.588 0.000
0.000 0.000 5.066
Y Nb Mo Os
1 1 2 1
direct
0.000 0.000 0.000 Y
0.000 0.000 0.500 Nb
0.000 0.500 0.500 Mo
0.500 0.000 0.500 Mo
0.500 0.500 0.000 Os

GGA-PBEsol NbMoP2S, optimized geometry; ΔE_f (raw) = 0.6936 eV/atom; size of the total moment = 2.6 μB/cell
1.0
4.614 0.000 0.000
0.000 4.614 0.000
0.000 0.000 4.523
Nb Mo P S
1 1 2 1
direct
0.000 0.000 0.000 Nb
0.500 0.500 0.500 Mo
0.000 0.500 0.500 P
0.500 0.000 0.500 P
0.500 0.500 0.000 S

GGA-PBEsol NbMoPt2, optimized geometry; calculated formation energy = 0 kJ/mol of atoms; size of the total moment = 0.0 μB/cell
1.0
6.353 0.000 0.000
0.000 6.353 0.000
0.000 0.000 6.353
Nb Mo Pt
4 4 8
direct
0.000 0.000 0.000 Nb
0.000 0.500 0.500 Nb
0.500 0.000 0.500 Nb
0.500 0.500 0.000 Nb
0.000 0.000 0.500 Mo
0.000 0.500 0.000 Mo
0.500 0.000 0.000 Mo
0.500 0.500 0.500 Mo
0.250 0.250 0.250 Pt
0.250 0.250 0.750 Pt
0.250 0.750 0.250 Pt
0.250 0.750 0.750 Pt
0.750 0.250 0.250 Pt
0.750 0.250 0.750 Pt
0.750 0.750 0.250 Pt
0.750 0.750 0.750 Pt

GGA-PBEsol NbMoRuPt2, optimized geometry; calculated formation energy = 145 kJ/mol of atoms; size of the total moment = 1.4 μB/cell
1.0
4.738 0.000 0.000
0.000 4.738 0.000
0.000 0.000 4.409
Nb Mo Ru Pt
1 1 1 2
direct
0.000 0.000 0.000 Nb
0.500 0.500 0.000 Mo
0.500 0.500 0.500 Ru
0.000 0.500 0.500 Pt
0.500 0.000 0.500 Pt

GGA-PBEsol ZrNb2ReMo, optimized geometry; calculated formation energy = 119 kJ/mol of atoms; size of the total moment = 0.0 μB/cell
1.0
4.707 0.000 0.000
0.000 4.707 0.000
0.000 0.000 4.724
Zr Nb Re Mo
1 2 1 1
direct
0.000 0.000 0.000 Zr
0.000 0.500 0.500 Nb
0.500 0.000 0.500 Nb
0.500 0.500 0.000 Re
0.500 0.500 0.500 Mo

GGA-PBEsol NbMoS3, optimized geometry; ΔE_f (raw) = -0.9953 eV/atom; size of the total moment = 0.0 μB/cell
1.0
6.140 0.000 0.000
0.000 3.225 0.000
-2.011 0.000 8.382
Nb Mo S
2 2 6
direct
0.195 0.250 0.492 Nb
0.805 0.750 0.508 Nb
0.387 0.250 0.876 Mo
0.613 0.750 0.124 Mo
0.005 0.750 0.295 S
0.228 0.750 0.017 S
0.475 0.750 0.666 S
0.525 0.250 0.334 S
0.772 0.250 0.983 S
0.995 0.250 0.705 S